(1)
Crystalline Cs2ZnSi2Se6 at its relaxed geometry, computed with PBE-GGA.

The total energy is -3.73 eV/atom. Its uncorrected formation energy is -55.42 kJ per mole of atoms. The value obtained for the magnetization is 0.0 μB per formula unit. The calculation puts the density of states at the Fermi level at 4.57 states/eV per cell.

The structure belongs to space group R-3m (No. 166, hexagonal axes); the cell edges are 7.3466, 7.3466 and 24.0102 Å and the angles 90.00°, 90.00° and 120.00°. The inequivalent atoms are Cs at (0.0000, 0.0000, 0.2218), Zn at (0.0000, 0.0000, 0.0000), Si at (0.0000, 0.0000, 0.4024) and Se at (0.0127, 0.5063, 0.7433).



(2)
Crystalline Cs2ZnSiSe4 at its relaxed geometry, computed with PBE-GGA.

The total energy is -3.74 eV/atom. Its uncorrected formation energy is -91.19 kJ per mole of atoms. The value obtained for the magnetization is 0.0 μB per formula unit. The calculation puts the density of states at the Fermi level at 0.00 states/eV per cell.

The structure belongs to space group Fddd (No. 70, origin choice 2); the cell edges are 6.151, 14.451 and 25.844 Å and the angles 90.00°, 90.00° and 90.00°. The inequivalent atoms are Cs at (0.125, 0.125, 0.304), Zn at (0.125, 0.125, 0.125), Si at (0.125, 0.125, 0.625) and Se at (0.101, 0.285, 0.825).



Which formula does entry 1 have?
Cs2ZnSi2Se6



uncorrected formation energy of number 1 (Cs2ZnSi2Se6)?
-55.42 kJ per mole of atoms



What is the formula in the first record?
Cs2ZnSi2Se6